Here is a geometry-optimized TbMn2Si2 structure from Alexandria via LeMat-Bulk. Energies are from PBE.

Cell lengths 5.867, 5.867, 5.867 Å; angles 141.19, 141.19, 56.06 degrees
Sites, in units of the cell vectors:
1 Tb 0.000 0.000 0.000
2 Mn 0.750 0.250 0.500
3 Mn 0.250 0.750 0.500
4 Si 0.621 0.621 0.000
5 Si 0.379 0.379 0.000

Summary:
Fermi-level density of states: 3.00 states/eV/cell
formation energy without anion corrections: -0.62 eV per atom
total moment: 3.580 μB per formula unit

Here is a geometry-optimized YMnRhCl2 structure from Alexandria via LeMat-Bulk. Energies are from PBE.

Cell lengths 4.837, 5.283, 4.837 Å; angles 90.00, 90.00, 90.00 degrees
Sites, in units of the cell vectors:
1 Y 0.000 0.500 0.000
2 Mn 0.500 0.500 0.500
3 Rh 0.000 0.000 0.000
4 Cl 0.000 0.000 0.500
5 Cl 0.500 0.000 0.000

Summary:
Fermi-level density of states: 3.23 states/eV/cell
formation energy without anion corrections: 0.07 eV per atom
total moment: 4.240 μB per formula unit

Here is a geometry-optimized CsCa3B structure from Alexandria via LeMat-Bulk. Energies are from PBE.

Cell lengths 5.773, 5.773, 5.773 Å; angles 90.00, 90.00, 90.00 degrees
Sites, in units of the cell vectors:
1 Cs 0.000 0.000 0.000
2 Ca 0.000 0.500 0.000
3 Ca 0.000 0.000 0.500
4 Ca 0.500 0.000 0.000
5 B 0.500 0.500 0.500

Summary:
Fermi-level density of states: 6.78 states/eV/cell
total moment: 0.004 μB per formula unit
ΔE_f: 46.34 kcal/mol of atoms

Here is a geometry-optimized HoCoTe structure from Alexandria via LeMat-Bulk. Energies are from PBE.

Cell lengths 3.689, 3.691, 11.388 Å; angles 90.00, 90.00, 119.98 degrees
Sites, in units of the cell vectors:
1 Co 0.611 0.221 0.000
2 Co 0.278 0.557 0.500
3 Ho 0.611 0.222 0.349
4 Ho 0.611 0.222 0.651
5 Te 0.278 0.555 0.864
6 Te 0.278 0.555 0.136

Summary:
Fermi-level density of states: 6.17 states/eV/cell
formation energy without anion corrections: -0.17 eV per atom
total moment: 0.012 μB per formula unit

Here is a geometry-optimized LiTa2H6 structure from Alexandria via LeMat-Bulk. Energies are from PBE.

Cell lengths 3.180, 3.116, 8.234 Å; angles 78.79, 78.85, 59.38 degrees
Sites, in units of the cell vectors:
1 Li 0.000 0.500 0.500
2 Ta 0.225 0.720 0.830
3 Ta 0.775 0.280 0.170
4 H 0.859 0.363 0.919
5 H 0.408 0.923 0.261
6 H 0.592 0.077 0.739
7 H 0.302 0.795 0.602
8 H 0.698 0.205 0.398
9 H 0.141 0.637 0.081

Summary:
VASP energy: -5.304 eV per atom
Fermi-level density of states: 2.71 states/eV/cell
total moment: 0.000 μB per formula unit

Here is a geometry-optimized NdSm3Al structure from Alexandria via LeMat-Bulk. Energies are from PBE.

Cell lengths 4.674, 6.846, 10.246 Å; angles 90.00, 90.00, 90.00 degrees
Sites, in units of the cell vectors:
1 Nd 0.750 0.750 0.442
2 Nd 0.250 0.250 0.558
3 Sm 0.750 0.750 0.063
4 Sm 0.250 0.250 0.937
5 Sm 0.750 0.989 0.755
6 Sm 0.750 0.511 0.755
7 Sm 0.250 0.011 0.245
8 Sm 0.250 0.489 0.245
9 Al 0.750 0.250 0.124
10 Al 0.250 0.750 0.876

Summary:
Fermi-level density of states: 13.10 states/eV/cell
total moment: 0.000 μB per formula unit
ΔE_f: 1.82 kcal/mol of atoms

Here is a geometry-optimized CdCo3Bi structure from Alexandria via LeMat-Bulk. Energies are from PBE.

Cell lengths 4.805, 4.805, 4.805 Å; angles 90.00, 90.00, 90.00 degrees
Sites, in units of the cell vectors:
1 Co 0.000 0.500 0.000
2 Co 0.000 0.000 0.500
3 Co 0.500 0.000 0.000
4 Bi 0.000 0.000 0.000
5 Cd 0.500 0.500 0.500

Summary:
Fermi-level density of states: 7.63 states/eV/cell
total moment: 4.053 μB per formula unit
ΔE_f: 31.28 kcal/mol of atoms

Here is a geometry-optimized CoH2Os2 structure from Alexandria via LeMat-Bulk. Energies are from PBE.

Cell lengths 5.553, 5.553, 2.960 Å; angles 90.00, 90.00, 90.00 degrees
Sites, in units of the cell vectors:
1 Co 0.000 0.000 0.000
2 Co 0.500 0.500 0.000
3 Os 0.160 0.660 0.500
4 Os 0.660 0.840 0.500
5 Os 0.840 0.340 0.500
6 Os 0.340 0.160 0.500
7 H 0.295 0.795 0.000
8 H 0.795 0.705 0.000
9 H 0.705 0.205 0.000
10 H 0.205 0.295 0.000

Summary:
VASP energy: -6.790 eV per atom
Fermi-level density of states: 5.30 states/eV/cell
total moment: 0.000 μB per formula unit

Here is a geometry-optimized TlMoW2 structure from Alexandria via LeMat-Bulk. Energies are from PBE.

Cell lengths 7.588, 7.588, 6.028 Å; angles 50.99, 50.99, 90.00 degrees
Sites, in units of the cell vectors:
1 Tl 0.000 0.000 0.000
2 Tl 0.750 0.250 0.500
3 Mo 0.500 0.500 0.000
4 Mo 0.250 0.750 0.500
5 W 0.575 0.125 0.250
6 W 0.175 0.625 0.250
7 W 0.375 0.425 0.750
8 W 0.875 0.825 0.750

Summary:
Fermi-level density of states: 6.89 states/eV/cell
total moment: 0.000 μB per formula unit
ΔE_f: 29.28 kcal/mol of atoms

Here is a geometry-optimized Tb3HoEr4S8 structure from Alexandria via LeMat-Bulk. Energies are from PBE.

Cell lengths 7.777, 7.788, 7.776 Å; angles 119.94, 120.00, 90.00 degrees
Sites, in units of the cell vectors:
1 Tb 0.500 0.500 0.000
2 Tb 0.500 0.500 0.500
3 Tb 0.000 0.500 0.500
4 Ho 0.000 0.500 0.000
5 Er 0.500 0.000 0.000
6 Er 0.500 0.000 0.500
7 Er 0.000 0.000 0.000
8 Er 0.000 0.000 0.500
9 S 0.251 0.755 0.004
10 S 0.251 0.755 0.502
11 S 0.248 0.243 0.496
12 S 0.754 0.755 0.004
13 S 0.246 0.245 0.996
14 S 0.752 0.757 0.504
15 S 0.749 0.245 0.498
16 S 0.749 0.245 0.996

Summary:
Fermi-level density of states: 8.82 states/eV/cell
formation energy without anion corrections: -1.97 eV per atom
total moment: 0.000 μB per formula unit